# GGA-PBE PmPr5Tm2, optimized geometry
# Calculated density in g cm⁻³: 7.1
# DFT total energy in eV/cell: -141.8
# Energy of formation from the pure elements in eV/atom: 0.268
# Relative energy among the computed polymorphs in meV per atom: 147
data_PmPr5Tm2
_chemical_formula_sum 'Pm4 Pr20 Tm8'
_symmetry_space_group_name_H-M 'C 1 2/c 1'
_symmetry_Int_Tables_number 15
_cell_length_a 6.534
_cell_length_b 26.233
_cell_length_c 6.591
_cell_angle_alpha 90.00
_cell_angle_beta 98.19
_cell_angle_gamma 90.00
loop_
_symmetry_equiv_pos_as_xyz
'x,y,z'
'-x,-y,-z'
'-x,y,-z+1/2'
'x,-y,z+1/2'
'x+1/2,y+1/2,z'
'-x+1/2,-y+1/2,-z'
'-x+1/2,y+1/2,-z+1/2'
'x+1/2,-y+1/2,z+1/2'
loop_
_atom_site_label
_atom_site_type_symbol
_atom_site_fract_x
_atom_site_fract_y
_atom_site_fract_z
Pm1 Pm 0.000 0.046 0.250
Pr1 Pr 0.000 0.372 0.750
Pr2 Pr 0.194 0.186 0.507
Pr3 Pr 0.243 0.097 0.817
Tm1 Tm 0.000 0.500 0.000
Tm2 Tm 0.250 0.250 0.000


# GGA-PBE Pm4Pr7Tm, optimized geometry
# Calculated density in g cm⁻³: 6.8
# DFT total energy in eV/cell: -56.8
# Energy of formation from the pure elements in eV/atom: 0.013
# Relative energy among the computed polymorphs in meV per atom: 0
data_Pm4Pr7Tm
_chemical_formula_sum 'Pm4 Pr7 Tm1'
_symmetry_space_group_name_H-M 'P -1'
_symmetry_Int_Tables_number 2
_cell_length_a 6.404
_cell_length_b 7.398
_cell_length_c 9.169
_cell_angle_alpha 89.98
_cell_angle_beta 76.48
_cell_angle_gamma 89.98
loop_
_symmetry_equiv_pos_as_xyz
'x,y,z'
'-x,-y,-z'
loop_
_atom_site_label
_atom_site_type_symbol
_atom_site_fract_x
_atom_site_fract_y
_atom_site_fract_z
Pm1 Pm 0.223 0.250 0.329
Pm2 Pm 0.276 0.000 0.667
Pr1 Pr 0.001 0.251 0.001
Pr2 Pr 0.223 0.750 0.330
Pr3 Pr 0.279 0.500 0.667
Pr4 Pr 0.500 0.000 0.000
Tm1 Tm 0.500 0.500 0.000


# GGA-PBE Pm8PrTm3, optimized geometry
# Calculated density in g cm⁻³: 7.5
# DFT total energy in eV/cell: -56.0
# Energy of formation from the pure elements in eV/atom: 0.016
data_Pm8PrTm3
_chemical_formula_sum 'Pm8 Pr1 Tm3'
_symmetry_space_group_name_H-M 'P 1 m 1'
_symmetry_Int_Tables_number 6
_cell_length_a 9.007
_cell_length_b 3.647
_cell_length_c 12.599
_cell_angle_alpha 90.00
_cell_angle_beta 103.56
_cell_angle_gamma 90.00
loop_
_symmetry_equiv_pos_as_xyz
'x,y,z'
'x,-y,z'
loop_
_atom_site_label
_atom_site_type_symbol
_atom_site_fract_x
_atom_site_fract_y
_atom_site_fract_z
Pm1 Pm 0.000 0.000 0.000
Pm2 Pm 0.000 0.500 0.256
Pm3 Pm 0.330 0.500 0.139
Pm4 Pm 0.331 0.000 0.393
Pm5 Pm 0.332 0.500 0.643
Pm6 Pm 0.663 0.500 0.864
Pm7 Pm 0.666 0.000 0.112
Pm8 Pm 0.673 0.000 0.619
Pr1 Pr 0.670 0.500 0.367
Tm1 Tm 0.003 0.000 0.509
Tm2 Tm 0.007 0.500 0.753
Tm3 Tm 0.328 0.000 0.891


# GGA-PBE Pm12Pr5Tm2, optimized geometry
# Calculated density in g cm⁻³: 7.0
# DFT total energy in eV/cell: -176.0
# Energy of formation from the pure elements in eV/atom: 0.098
# Relative energy among the computed polymorphs in meV per atom: 0
data_Pm12Pr5Tm2
_chemical_formula_sum 'Pm24 Pr10 Tm4'
_symmetry_space_group_name_H-M 'C 1 2/m 1'
_symmetry_Int_Tables_number 12
_cell_length_a 18.094
_cell_length_b 11.860
_cell_length_c 6.285
_cell_angle_alpha 90.00
_cell_angle_beta 102.82
_cell_angle_gamma 90.00
loop_
_symmetry_equiv_pos_as_xyz
'x,y,z'
'-x,-y,-z'
'-x,y,-z'
'x,-y,z'
'x+1/2,y+1/2,z'
'-x+1/2,-y+1/2,-z'
'-x+1/2,y+1/2,-z'
'x+1/2,-y+1/2,z'
loop_
_atom_site_label
_atom_site_type_symbol
_atom_site_fract_x
_atom_site_fract_y
_atom_site_fract_z
Pm1 Pm 0.052 0.000 0.273
Pm2 Pm 0.102 0.246 0.619
Pm3 Pm 0.119 0.500 0.999
Pm4 Pm 0.196 0.246 0.198
Pr1 Pr 0.000 0.500 0.500
Pr2 Pr 0.176 0.000 0.857
Pr3 Pr 0.215 0.500 0.556
Tm1 Tm 0.000 0.269 0.000


# GGA-PBE PmPrTm2, optimized geometry
# Calculated density in g cm⁻³: 7.9
# DFT total energy in eV/cell: -72.4
# Energy of formation from the pure elements in eV/atom: 0.095
# Relative energy among the computed polymorphs in meV per atom: 77
data_PmPrTm2
_chemical_formula_sum 'Pm4 Pr4 Tm8'
_symmetry_space_group_name_H-M 'F m -3 m'
_symmetry_Int_Tables_number 225
_symmetry_space_group_name_Hall '-F 4 2 3'
_cell_length_a 8.075
_cell_length_b 8.075
_cell_length_c 8.075
_cell_angle_alpha 90.00
_cell_angle_beta 90.00
_cell_angle_gamma 90.00
loop_
_atom_site_label
_atom_site_type_symbol
_atom_site_fract_x
_atom_site_fract_y
_atom_site_fract_z
Pm1 Pm 0.000 0.000 0.000
Pr1 Pr 0.000 0.000 0.500
Tm1 Tm 0.250 0.250 0.250


# GGA-PBE PmPr2Tm5, optimized geometry
# Calculated density in g cm⁻³: 8.2
# DFT total energy in eV/cell: -140.8
# Energy of formation from the pure elements in eV/atom: 0.184
# Relative energy among the computed polymorphs in meV per atom: 160
data_PmPr2Tm5
_chemical_formula_sum 'Pm4 Pr8 Tm20'
_symmetry_space_group_name_H-M 'C 1 2/c 1'
_symmetry_Int_Tables_number 15
_cell_length_a 16.207
_cell_length_b 9.883
_cell_length_c 6.504
_cell_angle_alpha 90.00
_cell_angle_beta 97.85
_cell_angle_gamma 90.00
loop_
_symmetry_equiv_pos_as_xyz
'x,y,z'
'-x,-y,-z'
'-x,y,-z+1/2'
'x,-y,z+1/2'
'x+1/2,y+1/2,z'
'-x+1/2,-y+1/2,-z'
'-x+1/2,y+1/2,-z+1/2'
'x+1/2,-y+1/2,z+1/2'
loop_
_atom_site_label
_atom_site_type_symbol
_atom_site_fract_x
_atom_site_fract_y
_atom_site_fract_z
Pm1 Pm 0.250 0.250 0.000
Pr1 Pr 0.077 0.246 0.113
Tm1 Tm 0.000 0.442 0.750
Tm2 Tm 0.100 0.088 0.645
Tm3 Tm 0.196 0.411 0.524


# GGA-PBE Pm2PrTm4, optimized geometry
# Calculated density in g cm⁻³: 8.1
# DFT total energy in eV/cell: -64.1
# Energy of formation from the pure elements in eV/atom: 0.018
# Relative energy among the computed polymorphs in meV per atom: 0
data_Pm2PrTm4
_chemical_formula_sum 'Pm4 Pr2 Tm8'
_symmetry_space_group_name_H-M 'P 1'
_symmetry_Int_Tables_number 1
_cell_length_a 6.284
_cell_length_b 8.485
_cell_length_c 9.217
_cell_angle_alpha 95.32
_cell_angle_beta 90.01
_cell_angle_gamma 111.65
loop_
_symmetry_equiv_pos_as_xyz
'x,y,z'
loop_
_atom_site_label
_atom_site_type_symbol
_atom_site_fract_x
_atom_site_fract_y
_atom_site_fract_z
Pm1 Pm 0.000 0.000 0.000
Pm2 Pm 0.043 0.428 0.071
Pm3 Pm 0.430 0.861 0.142
Pm4 Pm 0.762 0.862 0.643
Pr1 Pr 0.282 0.573 0.431
Pr2 Pr 0.714 0.426 0.571
Tm1 Tm 0.141 0.287 0.715
Tm2 Tm 0.191 0.716 0.788
Tm3 Tm 0.328 0.004 0.502
Tm4 Tm 0.474 0.286 0.213
Tm5 Tm 0.566 0.145 0.857
Tm6 Tm 0.616 0.569 0.928
Tm7 Tm 0.854 0.716 0.283
Tm8 Tm 0.903 0.140 0.357


# GGA-PBE Pm7Pr2Tm2, optimized geometry
# Calculated density in g cm⁻³: 7.1
# DFT total energy in eV/cell: -99.6
# Energy of formation from the pure elements in eV/atom: 0.176
# Relative energy among the computed polymorphs in meV per atom: 5
data_Pm7Pr2Tm2
_chemical_formula_sum 'Pm14 Pr4 Tm4'
_symmetry_space_group_name_H-M 'C 1 2/m 1'
_symmetry_Int_Tables_number 12
_cell_length_a 12.508
_cell_length_b 7.064
_cell_length_c 9.375
_cell_angle_alpha 90.00
_cell_angle_beta 112.90
_cell_angle_gamma 90.00
loop_
_symmetry_equiv_pos_as_xyz
'x,y,z'
'-x,-y,-z'
'-x,y,-z'
'x,-y,z'
'x+1/2,y+1/2,z'
'-x+1/2,-y+1/2,-z'
'-x+1/2,y+1/2,-z'
'x+1/2,-y+1/2,z'
loop_
_atom_site_label
_atom_site_type_symbol
_atom_site_fract_x
_atom_site_fract_y
_atom_site_fract_z
Pm1 Pm 0.000 0.000 0.000
Pm2 Pm 0.007 0.500 0.830
Pm3 Pm 0.242 0.229 0.825
Pr1 Pr 0.237 0.000 0.465
Tm1 Tm 0.000 0.251 0.500